This record from Alexandria describes an optimized crystal structure of NiWSe2. The functional is PBE.

```
NiWSe2
1.0
-3.8203 -2.0433 0.9956
-3.8779 1.9931 -0.8659
-2.6117 -1.5372 -3.2522
Ni Se W
1 2 1
Direct
0.0000 0.0000 0.0000
0.2500 0.2500 0.2500
0.7500 0.7500 0.7500
0.5000 0.5000 0.5000
```

## Properties
The magnetic moment comes out at 1.7 Bohr magnetons per cell. The calculation puts the density of states at the Fermi level at 0.8419 states/eV per atom. Its energy above the lowest structure with this stoichiometry is 49.66 kJ/mol of atoms. For the raw total energy, the calculation gives -6.06 eV/atom. The calculation puts the energy relative to the elements, uncorrected at 363 meV/atom.

This record from Alexandria describes an optimized crystal structure of NiWSe2. The functional is PBE.

```
NiWSe2
1.0
-0.0583 0.5765 3.0099
0.3734 -2.9182 -0.8602
7.8458 1.0166 -0.0427
Ni Se W
1 2 1
Direct
0.5000 0.5000 0.7500
0.0000 0.0000 0.9897
0.0000 0.0000 0.5103
0.5000 0.5000 0.2500
```

## Properties
The magnetic moment comes out at 0.0 Bohr magnetons per cell. The calculation puts the density of states at the Fermi level at 1.1177 states/eV per atom. Its energy above the lowest structure with this stoichiometry is 70.83 kJ/mol of atoms. For the raw total energy, the calculation gives -5.84 eV/atom. The calculation puts the energy relative to the elements, uncorrected at 582 meV/atom.

This record from Alexandria describes an optimized crystal structure of NiWSe2. The functional is PBE.

```
NiWSe2
1.0
-2.0712 -4.4612 -2.9991
5.0665 -0.8924 -2.5925
1.1899 -2.4197 0.3506
Ni Se W
1 2 1
Direct
0.0000 0.5000 0.5000
0.0000 0.0000 0.0000
0.5000 0.5000 0.0000
0.5000 0.0000 0.5000
```

## Properties
The magnetic moment comes out at 0.0 Bohr magnetons per cell. The calculation puts the density of states at the Fermi level at 0.7206 states/eV per atom. Its energy above the lowest structure with this stoichiometry is 67.44 kJ/mol of atoms. For the raw total energy, the calculation gives -5.88 eV/atom. The calculation puts the energy relative to the elements, uncorrected at 547 meV/atom.

This record from Alexandria describes an optimized crystal structure of Ni2WSe. The functional is PBE.

```
Ni2WSe
1.0
-0.2545 -2.1682 3.7236
2.4234 -2.2544 2.7705
1.2190 3.5068 3.1078
Ni Se W
2 1 1
Direct
0.9980 0.9980 0.9820
0.7471 0.7471 0.7570
0.5046 0.5046 0.5381
0.2503 0.2503 0.2228
```

## Properties
The magnetic moment comes out at 0.0 Bohr magnetons per cell. The calculation puts the density of states at the Fermi level at 0.7172 states/eV per atom. For the raw total energy, the calculation gives -6.72 eV/atom. The calculation puts the energy relative to the elements, uncorrected at 278 meV/atom.

This record from Alexandria describes an optimized crystal structure of Ni2WSe. The functional is PBE.

```
Ni2WSe
1.0
-1.3124 -0.6472 2.6698
3.7661 -1.0071 1.6072
0.5416 3.9961 1.2349
Ni Se W
2 1 1
Direct
0.0000 0.0000 0.0000
0.5000 0.5000 0.0000
0.5000 0.0000 0.5000
0.0000 0.5000 0.5000
```

## Properties
The magnetic moment comes out at 0.0 Bohr magnetons per cell. The calculation puts the density of states at the Fermi level at 0.7681 states/eV per atom. For the raw total energy, the calculation gives -6.67 eV/atom. The calculation puts the energy relative to the elements, uncorrected at 335 meV/atom.

This record from Alexandria describes an optimized crystal structure of Ni2WSe. The functional is PBE.

```
Ni2WSe
1.0
4.0509 0.0000 0.0000
0.0000 2.7863 0.0066
0.0000 -0.0110 4.8490
Ni Se W
2 1 1
Direct
0.0000 0.1249 0.9930
0.5000 0.1250 0.2892
0.0000 0.6250 0.4285
0.5000 0.6250 0.7892
```

## Properties
The magnetic moment comes out at 0.0 Bohr magnetons per cell. The calculation puts the density of states at the Fermi level at 0.9779 states/eV per atom. For the raw total energy, the calculation gives -6.71 eV/atom. The calculation puts the energy relative to the elements, uncorrected at 294 meV/atom.